Record 1
Material: PuAuI4
Method: DFT, PBE
State: optimized geometry

Uncorrected formation energy in kJ/mol of formula units: -404
Calculated density in kg/m3: 5440

Structure (CIF):
```
data_PuAuI4
_chemical_formula_sum 'Pu2 Au2 I8'
_symmetry_space_group_name_H-M 'P 1'
_symmetry_Int_Tables_number 1
_symmetry_space_group_name_Hall 'P 1'
_cell_length_a 7.7461
_cell_length_b 7.6882
_cell_length_c 11.2316
_cell_angle_alpha 103.17
_cell_angle_beta 103.37
_cell_angle_gamma 109.38
loop_
_atom_site_label
_atom_site_type_symbol
_atom_site_fract_x
_atom_site_fract_y
_atom_site_fract_z
_atom_site_occupancy
Pu1 Pu 0.8062 0.0562 0.1124 1
Pu2 Pu 0.1938 0.9438 0.8876 1
Au1 Au 0.4093 0.6593 0.3186 1
Au2 Au 0.5907 0.3407 0.6814 1
I1 I 0.2674 0.0585 0.6474 1
I2 I 0.0483 0.8088 0.0980 1
I3 I 0.1200 0.4110 0.3526 1
I4 I 0.4503 0.7108 0.9020 1
I5 I 0.7326 0.9415 0.3526 1
I6 I 0.8800 0.5890 0.6474 1
I7 I 0.9517 0.1912 0.9020 1
I8 I 0.5497 0.2892 0.0980 1
```



Record 2
Material: PuAu2I8
Method: DFT, PBE
State: optimized geometry

Uncorrected formation energy in kJ/mol of formula units: -425
Calculated density in kg/m3: 5406

Structure (CIF):
```
data_PuAu2I8
_chemical_formula_sum 'Pu1 Au2 I8'
_symmetry_space_group_name_H-M 'P 1'
_symmetry_Int_Tables_number 1
_symmetry_space_group_name_Hall 'P 1'
_cell_length_a 7.1217
_cell_length_b 8.5951
_cell_length_c 8.5951
_cell_angle_alpha 89.23
_cell_angle_beta 100.73
_cell_angle_gamma 100.73
loop_
_atom_site_label
_atom_site_type_symbol
_atom_site_fract_x
_atom_site_fract_y
_atom_site_fract_z
_atom_site_occupancy
I1 I 0.8027 0.9002 0.2782 1
I2 I 0.1973 0.7218 0.0998 1
I3 I 0.6788 0.7749 0.7749 1
I4 I 0.3212 0.2251 0.2251 1
I5 I 0.8027 0.2782 0.9002 1
I6 I 0.1973 0.0998 0.7218 1
I7 I 0.1445 0.6011 0.6011 1
I8 I 0.8555 0.3989 0.3989 1
Au1 Au 0.3693 0.8652 0.8652 1
Au2 Au 0.6307 0.1348 0.1348 1
Pu1 Pu 0.0000 0.0000 0.0000 1
```



Record 3
Material: Pu2AuI8
Method: DFT, PBE
State: optimized geometry

Uncorrected formation energy in kJ/mol of formula units: -752
Calculated density in kg/m3: 5149

Structure (CIF):
```
data_Pu2AuI8
_chemical_formula_sum 'Pu2 Au1 I8'
_symmetry_space_group_name_H-M 'P 1'
_symmetry_Int_Tables_number 1
_symmetry_space_group_name_Hall 'P 1'
_cell_length_a 10.8720
_cell_length_b 8.0326
_cell_length_c 8.0326
_cell_angle_alpha 54.28
_cell_angle_beta 76.10
_cell_angle_gamma 76.10
loop_
_atom_site_label
_atom_site_type_symbol
_atom_site_fract_x
_atom_site_fract_y
_atom_site_fract_z
_atom_site_occupancy
Pu1 Pu 0.6052 0.1212 0.1212 1
Pu2 Pu 0.3948 0.8788 0.8788 1
Au1 Au 0.0000 0.0000 0.0000 1
I1 I 0.1609 0.1451 0.6359 1
I2 I 0.1609 0.6359 0.1451 1
I3 I 0.8391 0.8549 0.3641 1
I4 I 0.5009 0.6573 0.6573 1
I5 I 0.8391 0.3641 0.8549 1
I6 I 0.3258 0.1036 0.1036 1
I7 I 0.6742 0.8964 0.8964 1
I8 I 0.4991 0.3427 0.3427 1
```



Record 4
Material: PuAuI2
Method: DFT, PBE
State: optimized geometry

Uncorrected formation energy in kJ/mol of formula units: 35
Calculated density in kg/m3: 7986

Structure (CIF):
```
data_PuAuI2
_chemical_formula_sum 'Pu1 Au1 I2'
_symmetry_space_group_name_H-M 'P 1'
_symmetry_Int_Tables_number 1
_symmetry_space_group_name_Hall 'P 1'
_cell_length_a 4.1411
_cell_length_b 4.1411
_cell_length_c 10.0172
_cell_angle_alpha 78.07
_cell_angle_beta 78.07
_cell_angle_gamma 60.00
loop_
_atom_site_label
_atom_site_type_symbol
_atom_site_fract_x
_atom_site_fract_y
_atom_site_fract_z
_atom_site_occupancy
I1 I 0.1049 0.1049 0.6852 1
I2 I 0.8951 0.8951 0.3148 1
Au1 Au 0.5000 0.5000 0.5000 1
Pu1 Pu 0.0000 0.0000 0.0000 1
```



Record 5
Material: PuAuI
Method: DFT, PBE
State: optimized geometry

Uncorrected formation energy in kJ/mol of formula units: -204
Calculated density in kg/m3: 9152

Structure (CIF):
```
data_PuAuI
_chemical_formula_sum 'Pu2 Au2 I2'
_symmetry_space_group_name_H-M 'P 1'
_symmetry_Int_Tables_number 1
_symmetry_space_group_name_Hall 'P 1'
_cell_length_a 4.6850
_cell_length_b 4.6850
_cell_length_c 11.1867
_cell_angle_alpha 89.52
_cell_angle_beta 102.58
_cell_angle_gamma 120.00
loop_
_atom_site_label
_atom_site_type_symbol
_atom_site_fract_x
_atom_site_fract_y
_atom_site_fract_z
_atom_site_occupancy
Pu1 Pu 0.8883 0.4474 0.3357 1
Pu2 Pu 0.1117 0.5526 0.6643 1
Au1 Au 0.3215 0.1612 0.4827 1
Au2 Au 0.6785 0.8388 0.5173 1
I1 I 0.5611 0.2738 0.8349 1
I2 I 0.4389 0.7262 0.1651 1
```



Record 6
Material: PuAuI4
Method: DFT, PBE
State: optimized geometry

Uncorrected formation energy in kJ/mol of formula units: -374
Calculated density in kg/m3: 6119

Structure (CIF):
```
data_PuAuI4
_chemical_formula_sum 'Pu1 Au1 I4'
_symmetry_space_group_name_H-M 'P 1'
_symmetry_Int_Tables_number 1
_symmetry_space_group_name_Hall 'P 1'
_cell_length_a 4.3463
_cell_length_b 8.5876
_cell_length_c 7.9941
_cell_angle_alpha 115.96
_cell_angle_beta 90.00
_cell_angle_gamma 104.66
loop_
_atom_site_label
_atom_site_type_symbol
_atom_site_fract_x
_atom_site_fract_y
_atom_site_fract_z
_atom_site_occupancy
Pu1 Pu 0.5000 0.0000 0.5000 1
Au1 Au 0.0000 0.0000 0.0000 1
I1 I 0.3990 0.7979 0.0603 1
I2 I 0.1357 0.2715 0.5151 1
I3 I 0.6010 0.2021 0.9397 1
I4 I 0.8643 0.7285 0.4849 1
```



Record 7
Material: Pu7AuI12
Method: DFT, PBE
State: optimized geometry

Uncorrected formation energy in kJ/mol of formula units: -1775
Calculated density in kg/m3: 6891

Structure (CIF):
```
data_Pu7AuI12
_chemical_formula_sum 'Pu7 Au1 I12'
_symmetry_space_group_name_H-M 'P 1'
_symmetry_Int_Tables_number 1
_symmetry_space_group_name_Hall 'P 1'
_cell_length_a 9.9892
_cell_length_b 9.9892
_cell_length_c 9.9892
_cell_angle_alpha 107.18
_cell_angle_beta 107.18
_cell_angle_gamma 107.18
loop_
_atom_site_label
_atom_site_type_symbol
_atom_site_fract_x
_atom_site_fract_y
_atom_site_fract_z
_atom_site_occupancy
Pu1 Pu 0.9728 0.6721 0.8976 1
Pu2 Pu 0.3279 0.1024 0.0272 1
Pu3 Pu 0.1024 0.0272 0.3279 1
Pu4 Pu 0.5000 0.5000 0.5000 1
Pu5 Pu 0.8976 0.9728 0.6721 1
Pu6 Pu 0.6721 0.8976 0.9728 1
Pu7 Pu 0.0272 0.3279 0.1024 1
Au1 Au 0.0000 0.0000 0.0000 1
I1 I 0.9222 0.3179 0.7671 1
I2 I 0.6821 0.2329 0.0778 1
I3 I 0.4586 0.1507 0.3817 1
I4 I 0.8493 0.6183 0.5414 1
I5 I 0.2329 0.0778 0.6821 1
I6 I 0.6183 0.5414 0.8493 1
I7 I 0.3817 0.4586 0.1507 1
I8 I 0.7671 0.9222 0.3179 1
I9 I 0.1507 0.3817 0.4586 1
I10 I 0.5414 0.8493 0.6183 1
I11 I 0.3179 0.7671 0.9222 1
I12 I 0.0778 0.6821 0.2329 1
```



Record 8
Material: RbPuAuI5
Method: DFT, PBE
State: optimized geometry

Uncorrected formation energy in kJ/mol of formula units: -703
Calculated density in kg/m3: 4671

Structure (CIF):
```
data_RbPuAuI5
_chemical_formula_sum 'Rb2 Pu2 Au2 I10'
_symmetry_space_group_name_H-M 'P 1'
_symmetry_Int_Tables_number 1
_symmetry_space_group_name_Hall 'P 1'
_cell_length_a 9.2878
_cell_length_b 9.2878
_cell_length_c 11.4881
_cell_angle_alpha 92.91
_cell_angle_beta 92.91
_cell_angle_gamma 123.11
loop_
_atom_site_label
_atom_site_type_symbol
_atom_site_fract_x
_atom_site_fract_y
_atom_site_fract_z
_atom_site_occupancy
Rb1 Rb 0.4977 0.5023 0.2500 1
Rb2 Rb 0.5023 0.4977 0.7500 1
Pu1 Pu 0.0000 0.0000 0.5000 1
Pu2 Pu 0.0000 0.0000 0.0000 1
Au1 Au 0.8632 0.1368 0.2500 1
Au2 Au 0.1368 0.8632 0.7500 1
I1 I 0.0814 0.9186 0.2500 1
I2 I 0.9186 0.0814 0.7500 1
I3 I 0.0475 0.3493 0.0981 1
I4 I 0.9525 0.6507 0.9019 1
I5 I 0.6507 0.9525 0.4019 1
I6 I 0.3493 0.0475 0.5981 1
I7 I 0.7936 0.6078 0.5118 1
I8 I 0.2064 0.3922 0.4882 1
I9 I 0.3922 0.2064 0.9882 1
I10 I 0.6078 0.7936 0.0118 1
```



Record 9
Material: RbPuAuI6
Method: DFT, PBE
State: optimized geometry

Uncorrected formation energy in kJ/mol of formula units: -684
Calculated density in kg/m3: 4692

Structure (CIF):
```
data_RbPuAuI6
_chemical_formula_sum 'Rb1 Pu1 Au1 I6'
_symmetry_space_group_name_H-M 'P 1'
_symmetry_Int_Tables_number 1
_symmetry_space_group_name_Hall 'P 1'
_cell_length_a 8.6029
_cell_length_b 8.6043
_cell_length_c 7.9174
_cell_angle_alpha 92.50
_cell_angle_beta 87.51
_cell_angle_gamma 51.41
loop_
_atom_site_label
_atom_site_type_symbol
_atom_site_fract_x
_atom_site_fract_y
_atom_site_fract_z
_atom_site_occupancy
Rb1 Rb 0.9928 0.9928 0.9999 1
Pu1 Pu 0.6666 0.6667 0.5000 1
Au1 Au 0.3030 0.3028 0.5000 1
I1 I 0.9512 0.4149 0.1970 1
I2 I 0.4149 0.9514 0.8030 1
I3 I 0.7287 0.3295 0.6612 1
I4 I 0.0066 0.6066 0.6983 1
I5 I 0.3292 0.7290 0.3388 1
I6 I 0.6068 0.0064 0.3016 1
```



Record 10
Material: RbAuI5
Method: DFT, PBE
State: optimized geometry

Uncorrected formation energy in kJ/mol of formula units: -278
Calculated density in kg/m3: 3608

Structure (CIF):
```
data_RbAuI5
_chemical_formula_sum 'Rb2 Au2 I10'
_symmetry_space_group_name_H-M 'P 1'
_symmetry_Int_Tables_number 1
_symmetry_space_group_name_Hall 'P 1'
_cell_length_a 9.1740
_cell_length_b 9.1740
_cell_length_c 11.6493
_cell_angle_alpha 68.26
_cell_angle_beta 68.26
_cell_angle_gamma 85.44
loop_
_atom_site_label
_atom_site_type_symbol
_atom_site_fract_x
_atom_site_fract_y
_atom_site_fract_z
_atom_site_occupancy
Rb1 Rb 0.7391 0.2609 0.2500 1
Rb2 Rb 0.2609 0.7391 0.7500 1
Au1 Au 0.0000 0.0000 0.0000 1
Au2 Au 0.0000 0.0000 0.5000 1
I1 I 0.6884 0.9833 0.1005 1
I2 I 0.3494 0.5575 0.5133 1
I3 I 0.9833 0.6884 0.6005 1
I4 I 0.0237 0.9763 0.2500 1
I5 I 0.4425 0.6506 0.9867 1
I6 I 0.5575 0.3494 0.0133 1
I7 I 0.9763 0.0237 0.7500 1
I8 I 0.0167 0.3116 0.3995 1
I9 I 0.6506 0.4425 0.4867 1
I10 I 0.3116 0.0167 0.8995 1
```



Record 11
Material: Rb8Au3I4
Method: DFT, PBE
State: optimized geometry

Uncorrected formation energy in kJ/mol of formula units: -1276
Calculated density in kg/m3: 3770

Structure (CIF):
```
data_Rb8Au3I4
_chemical_formula_sum 'Rb8 Au3 I4'
_symmetry_space_group_name_H-M 'P 1'
_symmetry_Int_Tables_number 1
_symmetry_space_group_name_Hall 'P 1'
_cell_length_a 10.3025
_cell_length_b 10.3588
_cell_length_c 10.3588
_cell_angle_alpha 89.86
_cell_angle_beta 119.90
_cell_angle_gamma 119.90
loop_
_atom_site_label
_atom_site_type_symbol
_atom_site_fract_x
_atom_site_fract_y
_atom_site_fract_z
_atom_site_occupancy
Rb1 Rb 0.5030 0.2553 0.2553 1
Rb2 Rb 0.0000 0.7487 0.2513 1
Rb3 Rb 0.0088 0.2548 0.2548 1
Rb4 Rb 0.5000 0.7450 0.2550 1
Rb5 Rb 0.5000 0.2550 0.7450 1
Rb6 Rb 0.9912 0.7452 0.7452 1
Rb7 Rb 0.0000 0.2513 0.7487 1
Rb8 Rb 0.4970 0.7447 0.7447 1
Au1 Au 0.5000 0.5000 0.0000 1
Au2 Au 0.5000 0.0000 0.5000 1
Au3 Au 0.5000 0.5000 0.5000 1
I1 I 0.5000 0.0000 0.0000 1
I2 I 0.0000 0.5000 0.0000 1
I3 I 0.0000 0.0000 0.0000 1
I4 I 0.0000 0.0000 0.5000 1
```



Record 12
Material: Rb6Au3I2
Method: DFT, PBE
State: optimized geometry

Uncorrected formation energy in kJ/mol of formula units: -711
Calculated density in kg/m3: 3905

Structure (CIF):
```
data_Rb6Au3I2
_chemical_formula_sum 'Rb6 Au3 I2'
_symmetry_space_group_name_H-M 'P 1'
_symmetry_Int_Tables_number 1
_symmetry_space_group_name_Hall 'P 1'
_cell_length_a 8.8153
_cell_length_b 8.8198
_cell_length_c 9.0704
_cell_angle_alpha 80.59
_cell_angle_beta 70.89
_cell_angle_gamma 60.02
loop_
_atom_site_label
_atom_site_type_symbol
_atom_site_fract_x
_atom_site_fract_y
_atom_site_fract_z
_atom_site_occupancy
Rb1 Rb 0.4107 0.6598 0.7681 1
Rb2 Rb 0.7510 0.0000 0.7687 1
Rb3 Rb 0.0705 0.3402 0.7681 1
Rb4 Rb 0.2490 0.0000 0.2313 1
Rb5 Rb 0.5893 0.3402 0.2319 1
Rb6 Rb 0.9295 0.6598 0.2319 1
Au1 Au 0.0000 0.0000 0.0000 1
Au2 Au 0.3363 0.3273 0.0000 1
Au3 Au 0.6637 0.6727 0.0000 1
I1 I 0.1663 0.6673 0.5000 1
I2 I 0.8337 0.3327 0.5000 1
```



In μB per cell, the magnetization values for the records above are, in order, 10.00 3.98 10.23 6.54 11.72 4.99 31.47 10.00 4.00 0.00 0.75 0.44.